The following is a PBE calculation of Sr2InN2 after structural relaxation, from Alexandria via LeMat-Bulk.

## Properties
Energy relative to the elements, uncorrected, kcal/mol of atoms: -9.49
Total DFT energy (no corrections), eV per atom: -4.962
SG: Cmce
Calculated density, Mg/m³: 5.063

The structure in POSCAR format:
```
Sr2InN2
1.0
2.693 -6.020 0.000
2.693 6.020 0.000
0.000 0.000 12.871
Sr In N
8 4 8
Cartesian
2.693 5.566 11.041
2.693 4.324 5.797
2.693 1.696 12.232
2.693 0.454 4.606
2.693 -0.454 8.266
2.693 -1.696 0.639
2.693 -4.324 7.075
2.693 -5.566 1.830
2.693 3.170 8.739
2.693 2.850 2.303
2.693 -2.850 10.568
2.693 -3.170 4.133
2.693 5.271 8.233
2.693 4.168 0.650
2.693 1.852 7.086
2.693 0.749 1.797
2.693 -0.749 11.074
2.693 -1.852 5.786
2.693 -4.168 12.221
2.693 -5.271 4.639
```